A geometry-optimized ZrSc2Ru2 structure, computed with PBE.

The structure in POSCAR format:
```
ZrSc2Ru2
1.0
7.508 0.000 0.000
0.000 7.508 0.000
0.000 0.000 3.306
Zr Sc Ru
2 4 4
Direct
0.000 0.000 0.000
0.500 0.500 0.000
0.146 0.354 0.500
0.354 0.854 0.500
0.646 0.146 0.500
0.854 0.646 0.500
0.155 0.655 0.000
0.345 0.155 0.000
0.655 0.845 0.000
0.845 0.345 0.000
```

As for the total energy: -0.306 Ha/atom. The space group is P4/mbm, No. 127. Its density of states at the Fermi level is 7.3 states/eV per cell. The value obtained for the energy of formation is -1.9 eV/f.u. The relative energy among the computed polymorphs comes out at 0.102 eV per atom. As for the spin magnetization: 0.000 μB/cell.